First-principles (GGA-PBEsol) data for an optimized crystal structure of OsRuPb2, as listed in Alexandria.

```
OsRuPb2
1.0
-0.8706 3.0292 0.4788
-2.4542 1.2286 -1.6221
-6.3686 -1.0544 5.7041
Pb Ru Os
2 1 1
Cartesian
-7.2524 2.4108 3.4003
-2.4409 0.7926 1.1605
-4.8467 1.6017 2.2804
0.0000 0.0000 0.0000
```

Values from the calculation:
- VASP energy (eV/cell) = -26.8
- space-group type = R-3m (166)

First-principles (GGA-PBEsol) data for an optimized crystal structure of Ru2PtBr, as listed in Alexandria.

```
Ru2PtBr
1.0
-1.7967 2.4974 -3.1318
-1.3602 -1.8266 -3.7532
-4.2938 -0.3098 -0.8607
Ru Pt Br
2 1 1
Cartesian
-5.5880 0.2707 -5.8093
-1.8627 0.0902 -1.9364
-3.7253 0.1805 -3.8729
0.0000 0.0000 0.0000
```

Values from the calculation:
- space-group type = Fm-3m (225)
- energy above the most stable polymorph in this dataset (eV per atom) = 0.398

First-principles (GGA-PBEsol) data for an optimized crystal structure of TlMoRu2, as listed in Alexandria.

```
TlMoRu2
1.0
2.8644 0.0000 0.0000
-1.4322 4.5337 0.0017
0.0000 -1.0047 4.8985
Mo Tl Ru
1 1 2
Cartesian
1.4322 0.0000 0.0000
0.0000 -0.5024 2.4492
0.0000 1.9500 1.0286
1.4322 1.5790 3.8717
```

Values from the calculation:
- VASP energy (eV/cell) = -32.9
- space-group type = C2/m (12)

First-principles (GGA-PBEsol) data for an optimized crystal structure of LaTlBPb2, as listed in Alexandria.

```
LaTlBPb2
1.0
-1.3433 0.7312 5.7882
1.0854 -5.8046 0.9852
5.7472 1.2737 1.1729
Pb B La Tl
2 1 1 1
Cartesian
-0.6716 0.3656 2.8941
0.5427 -2.9023 0.4926
2.7446 -1.8999 3.9731
0.0000 0.0000 0.0000
2.8736 0.6368 0.5864
```

Values from the calculation:
- VASP energy (eV/cell) = -14.7
- space-group type = P4/mmm (123)

First-principles (GGA-PBEsol) data for an optimized crystal structure of Ta2MoPb, as listed in Alexandria.

```
Ta2MoPb
1.0
2.9252 0.0259 0.0438
-0.7994 5.2915 0.0502
-0.7994 -2.5076 4.6599
Mo Ta Pb
1 2 1
Cartesian
1.4626 0.0130 0.0219
-0.3997 2.6458 0.0251
-0.3997 -1.2538 2.3300
0.6632 1.4049 2.3770
```

Values from the calculation:
- VASP energy (eV/cell) = -39.2
- space-group type = C2/m (12)

First-principles (GGA-PBEsol) data for an optimized crystal structure of Cr2C, as listed in Alexandria.

```
Cr2C
1.0
-0.6671 0.1156 -2.6469
-2.4178 -1.1428 0.5595
-1.5411 3.5262 0.5425
Cr C
2 1
Cartesian
-1.5425 -0.5136 -1.0437
-0.7706 1.7631 0.2712
0.0000 0.0000 0.0000
```

Values from the calculation:
- VASP energy (eV/cell) = -29.9
- space-group type = P4/mmm (123)

First-principles (GGA-PBEsol) data for an optimized crystal structure of SmYCu4, as listed in Alexandria.

```
SmYCu4
1.0
4.2582 0.0000 0.0000
2.1291 4.9526 0.0210
2.1291 0.3378 4.9411
Cu Y Sm
4 1 1
Cartesian
6.3873 4.4357 2.3262
2.1291 3.1790 0.1713
2.1291 0.3744 3.1615
6.3873 2.6053 4.2778
2.1291 0.2243 0.2103
4.2582 2.4075 2.2581
```

Values from the calculation:
- VASP energy (eV/cell) = -30.6
- space-group type = Imm2 (44)

First-principles (GGA-PBEsol) data for an optimized crystal structure of RbNa2Mn, as listed in Alexandria.

```
RbNa2Mn
1.0
-1.9892 1.1457 4.5245
-0.2515 -4.9375 1.1397
12.3451 2.4320 1.9671
Na Rb Mn
4 2 2
Cartesian
2.0343 -3.2332 3.3813
8.9679 1.1366 2.2326
7.8693 -0.3325 4.9662
1.3374 -0.2906 4.6826
0.0000 0.0000 0.0000
5.4866 -2.2007 2.9694
4.6178 0.8409 4.6619
-1.1203 -1.8959 2.8321
```

Values from the calculation:
- VASP energy (eV/cell) = -20.5
- space-group type = I-42d (122)

First-principles (GGA-PBEsol) data for an optimized crystal structure of CaIrPb, as listed in Alexandria.

```
CaIrPb
1.0
3.3236 0.0000 0.0000
0.0000 4.7381 0.0000
0.0000 -2.3690 4.1033
Pb Ca Ir
1 1 1
Cartesian
1.6618 2.3690 1.3678
0.0000 0.0000 0.0000
1.6618 0.0000 2.7355
```

Values from the calculation:
- VASP energy (eV/cell) = -16.4
- space-group type = P-6m2 (187)

First-principles (GGA-PBEsol) data for an optimized crystal structure of CaZrSe2, as listed in Alexandria.

```
CaZrSe2
1.0
-3.0227 1.9722 -1.3654
-1.9624 -0.7699 3.2322
4.7345 4.6424 1.6769
Zr Se Ca
1 2 1
Cartesian
-2.4925 0.6011 0.9334
0.0000 0.0000 0.0000
-0.3904 3.6078 0.6224
0.1398 2.2368 2.9212
```

Values from the calculation:
- space-group type = I-4m2 (119)
- energy above the most stable polymorph in this dataset (eV per atom) = 0.229

First-principles (GGA-PBEsol) data for an optimized crystal structure of SrVClO3, as listed in Alexandria.

```
SrVClO3
1.0
-3.2696 -1.7867 -3.6720
-4.3567 -2.1481 4.9245
-4.6207 8.8887 -0.2107
O Sr V Cl
12 4 4 4
Cartesian
-4.8575 4.2256 -1.5198
-8.3596 5.8336 0.9413
-4.6876 -0.7692 2.6850
-5.8096 1.5917 4.3360
-7.1049 3.6224 2.7006
-7.3895 0.7284 2.5616
-5.4674 -1.7429 -1.6738
-3.8875 -0.8796 0.1006
-5.1421 1.3315 -1.6588
-6.4374 3.3622 -3.2941
-7.5595 5.7231 -1.6431
-6.7796 6.6969 2.7156
-5.7692 4.8361 0.9207
-6.4778 0.1179 0.1211
-10.1211 3.9050 1.5225
-2.1259 1.0489 -0.4806
-3.4253 -1.2670 1.8033
-4.8069 2.6170 -2.5827
-7.4401 2.3369 3.6246
-8.8217 6.2210 -0.7615
-7.7356 2.8286 -0.0778
-6.9991 -2.3918 1.8064
-5.2479 7.3457 -0.7646
-4.5114 2.1254 1.1197
```

Values from the calculation:
- VASP energy (eV/cell) = -179.0
- space-group type = Pnma (62)

First-principles (GGA-PBEsol) data for an optimized crystal structure of TbZnRh, as listed in Alexandria.

```
TbZnRh
1.0
3.9557 0.0000 0.0000
0.0000 6.8484 0.0000
0.0000 0.0000 8.0190
Tb Rh Zn
4 4 4
Cartesian
0.9889 3.7022 6.5404
2.9668 6.5704 2.5309
2.9668 3.1462 1.4787
0.9889 0.2780 5.4882
2.9668 1.6846 7.0295
0.9889 1.7396 3.0199
2.9668 5.1088 4.9991
0.9889 5.1638 0.9896
2.9668 2.5043 4.5166
0.9889 4.3441 3.5025
0.9889 0.9199 0.5070
2.9668 5.9285 7.5120
```

Values from the calculation:
- VASP energy (eV/cell) = -67.3
- space-group type = Pnma (62)

Total moment / μB per formula unit: 0.00; 0.10; 0.00; 0.00; 0.00; 0.00; 0.00; 4.50; 0.00; 0.97; 0.00; 0.00
Density of states at the Fermi level / states/eV/atom: 0.780; 1.608; 0.764; 0.711; 0.449; 0.881; 0.572; 0.946; 0.552; 0.635; 0.000; 0.422